TiMoO4: optimized geometry, PBE+U.

Lattice parameters (Å, degrees): 6.625 6.665 3.107 90.00 90.00 90.00
Space group Cmmm (No. 65)
Inequivalent atoms, fractional coordinates:
Ti  0.000  0.000  0.000 [2 per cell]
Mo  0.000  0.500  0.500 [2 per cell]
O  0.000  0.294  0.000 [4 per cell]
O  0.192  0.000  0.500 [4 per cell]

Output
- Total energy: -8.1399 eV/atom
- Total moment: 2.0 μB/f.u.